(1)
First-principles (PBE) data for a geometry-optimized ZrInGa2 structure, as listed in the Alexandria database.

Its total moment is 0.000 μB/f.u. The value obtained for the density of states at the Fermi level is 1.4 states/eV per cell. As for the formation enthalpy at 0 K: -1.34 eV per formula unit. The energy is -4.671 eV per atom.

a = 4.336 Å, b = 4.336 Å, c = 4.112 Å
α = 90.00°, β = 90.00°, γ = 90.00°
Positions (direct):
Zr1 0.000 0.000 0.000
In1 0.500 0.500 0.000
Ga1 0.000 0.500 0.500
Ga2 0.500 0.000 0.500

(2)
First-principles (PBE) data for a geometry-optimized ZrInGa2 structure, as listed in the Alexandria database.

Its total moment is 0.000 μB/f.u. The value obtained for the density of states at the Fermi level is 1.8 states/eV per cell. As for the formation enthalpy at 0 K: -0.17 eV per formula unit. The energy is -4.377 eV per atom.

a = 5.468 Å, b = 5.468 Å, c = 5.468 Å
α = 47.98°, β = 47.98°, γ = 47.98°
Positions (direct):
Zr1 0.000 0.000 0.000
In1 0.500 0.500 0.500
Ga1 0.249 0.249 0.249
Ga2 0.751 0.751 0.751

(3)
First-principles (PBE) data for a geometry-optimized Zr4InGa2 structure, as listed in the Alexandria database.

Its total moment is 0.002 μB/f.u. The value obtained for the density of states at the Fermi level is 14.4 states/eV per cell. As for the formation enthalpy at 0 K: -2.36 eV per formula unit. The energy is -6.477 eV per atom.

a = 7.316 Å, b = 7.316 Å, c = 7.316 Å
α = 109.35°, β = 109.35°, γ = 109.70°
Positions (direct):
Zr1 0.108 0.510 0.744
Zr2 0.114 0.016 0.756
Zr3 0.260 0.358 0.244
Zr4 0.490 0.234 0.597
Zr5 0.636 0.892 0.403
Zr6 0.642 0.886 0.903
Zr7 0.766 0.364 0.256
Zr8 0.984 0.740 0.097
In1 0.250 0.750 0.500
In2 0.500 0.500 0.000
Ga1 0.010 0.125 0.385
Ga2 0.375 0.990 0.115
Ga3 0.740 0.625 0.615
Ga4 0.875 0.260 0.885

(4)
First-principles (PBE) data for a geometry-optimized ZrInGa3 structure, as listed in the Alexandria database.

Its total moment is 0.000 μB/f.u. The value obtained for the density of states at the Fermi level is 5.9 states/eV per cell. As for the formation enthalpy at 0 K: 4.05 eV per formula unit. As for the offset from the most stable computed form: 1.79 eV per formula unit. The energy is -3.263 eV per atom.

a = 5.064 Å, b = 5.064 Å, c = 5.064 Å
α = 90.00°, β = 90.00°, γ = 90.00°
Positions (direct):
Zr1 0.000 0.000 0.000
In1 0.500 0.500 0.500
Ga1 0.000 0.500 0.500
Ga2 0.500 0.000 0.500
Ga3 0.500 0.500 0.000

(5)
First-principles (PBE) data for a geometry-optimized ZrIn2Ga2 structure, as listed in the Alexandria database.

Its total moment is 0.000 μB/f.u. The value obtained for the density of states at the Fermi level is 4.7 states/eV per cell. As for the formation enthalpy at 0 K: 0.35 eV per formula unit. As for the offset from the most stable computed form: 0.70 eV per formula unit. The energy is -3.946 eV per atom.

a = 7.937 Å, b = 7.937 Å, c = 3.448 Å
α = 90.00°, β = 90.00°, γ = 90.00°
Positions (direct):
Zr1 0.000 0.000 0.000
Zr2 0.500 0.500 0.000
In1 0.133 0.367 0.000
In2 0.367 0.867 0.000
In3 0.633 0.133 0.000
In4 0.867 0.633 0.000
Ga1 0.170 0.670 0.500
Ga2 0.330 0.170 0.500
Ga3 0.670 0.830 0.500
Ga4 0.830 0.330 0.500

(6)
First-principles (PBE) data for a geometry-optimized Zr4In2Ga structure, as listed in the Alexandria database.

Its total moment is 0.000 μB/f.u. The value obtained for the density of states at the Fermi level is 5.4 states/eV per cell. As for the formation enthalpy at 0 K: 1.51 eV per formula unit. The energy is -5.883 eV per atom.

a = 8.350 Å, b = 8.350 Å, c = 8.350 Å
α = 145.94°, β = 145.94°, γ = 48.93°
Positions (direct):
Zr1 0.000 0.500 0.500
Zr2 0.172 0.172 0.000
Zr3 0.500 0.000 0.500
Zr4 0.828 0.828 0.000
In1 0.368 0.368 0.000
In2 0.632 0.632 0.000
Ga1 0.000 0.000 0.000